# 1
Nd5Y5Ho2: optimized geometry, PBE.

Summary:
The value obtained for the formation energy is 0.017 eV per atom.

The structure in CIF format:
```
data_Nd5Y5Ho2
_chemical_formula_sum 'Nd10 Y10 Ho4'
_space_group_name_H-M_alt 'C 1 2/m 1'
_space_group_IT_number 12
_cell_length_a 15.318
_cell_length_b 5.104
_cell_length_c 11.410
_cell_angle_alpha 90.00
_cell_angle_beta 116.59
_cell_angle_gamma 90.00
loop_
_space_group_symop_operation_xyz
'x,y,z'
'-x,-y,-z'
'-x,y,-z'
'x,-y,z'
'x+1/2,y+1/2,z'
'-x+1/2,-y+1/2,-z'
'-x+1/2,y+1/2,-z'
'x+1/2,-y+1/2,z'
loop_
_atom_site_label
_atom_site_fract_x
_atom_site_fract_y
_atom_site_fract_z
Nd1 0.000 0.000 0.000
Nd2 0.082 0.000 0.748
Nd3 0.250 0.000 0.252
Y1 0.000 0.500 0.500
Y2 0.085 0.500 0.253
Y3 0.167 0.500 0.000
Ho1 0.167 0.000 0.500
```

=====

# 2
Na3Cd3Ag2: optimized geometry, PBE.

Summary:
The energy above the lowest structure with this stoichiometry comes out at 0.000 eV per atom. The value obtained for the formation energy is -0.071 eV per atom.

The structure in CIF format:
```
data_Na3Cd3Ag2
_chemical_formula_sum 'Na3 Cd3 Ag2'
_space_group_name_H-M_alt 'P -6 2 m'
_space_group_IT_number 189
_space_group_name_Hall 'P -6 -2'
_cell_length_a 8.2569
_cell_length_b 8.2569
_cell_length_c 3.1421
_cell_angle_alpha 90.00
_cell_angle_beta 90.00
_cell_angle_gamma 120.00
loop_
_atom_site_label
_atom_site_fract_x
_atom_site_fract_y
_atom_site_fract_z
Na1 0.0000 0.2441 0.0000
Cd1 0.0000 0.5944 0.5000
Ag1 0.3333 0.6667 0.0000
```

=====

# 3
La2Pm2Sn2H: optimized geometry, PBE.

Summary:
Its total energy is -5.035 eV per atom.

The structure in CIF format:
```
data_La2Pm2Sn2H
_chemical_formula_sum 'La4 Pm4 Sn4 H2'
_space_group_name_H-M_alt 'I 4/m m m'
_space_group_IT_number 139
_space_group_name_Hall '-I 4 2'
_cell_length_a 4.751
_cell_length_b 4.751
_cell_length_c 17.636
_cell_angle_alpha 90.00
_cell_angle_beta 90.00
_cell_angle_gamma 90.00
loop_
_atom_site_label
_atom_site_fract_x
_atom_site_fract_y
_atom_site_fract_z
La1 0.000 0.000 0.179
Pm1 0.000 0.500 0.000
Sn1 0.000 0.000 0.367
H1 0.000 0.000 0.000
```

=====

Number 1: total magnetization 0.0 μB per cell. Number 2: total magnetization 0.0 μB per cell. Number 3: total magnetization 1.6 μB per cell.